# 1
DFT (PBE-GGA) results for AcPd2Rh after structural relaxation.

Unit cell a=4.3468 b=4.2479 c=4.2479 alpha=90.00 beta=90.00 gamma=90.00
Last column: nearest neighbours and their distance in Å.
Fractional coordinates of all 4 atoms:
Pd 0.0000 0.5000 0.0000  4 Pd 3.00, 4 Ac 3.04, 4 Rh 3.04
Ac 0.5000 0.0000 0.0000  4 Rh 3.00, 8 Pd 3.04
Rh 0.5000 0.5000 0.5000  4 Ac 3.00, 8 Pd 3.04
Pd 0.0000 0.0000 0.5000  4 Pd 3.00, 4 Ac 3.04, 4 Rh 3.04

The volume comes out at 78.44 Å³ per cell. The polymorph energy (0 for the lowest one) is 0 meV/atom. The crystal system is tetragonal. The value obtained for the total magnetization is 0.0000 μB per atom. Its density of states at the Fermi level is 3.9 states/eV/f.u. Its formation enthalpy at 0 K is -0.51 eV per atom.

---

# 2
DFT (PBE-GGA) results for AcPdRh after structural relaxation.

Unit cell a=3.8657 b=3.8657 c=5.1648 alpha=111.98 beta=111.98 gamma=90.00
Last column: nearest neighbours and their distance in Å.
Fractional coordinates of all 3 atoms:
Pd 0.9444 0.9444 0.8889  5 Ac 2.89-3.11, 5 Rh 3.04-3.05
Ac 0.6145 0.6145 0.2290  5 Rh 2.84-3.14, 5 Pd 2.89-3.11
Rh 0.2910 0.2910 0.5821  5 Ac 2.84-3.14, 5 Pd 3.04-3.05

The volume comes out at 65.49 Å³ per cell. The polymorph energy (0 for the lowest one) is 243 meV/atom. The crystal system is tetragonal. The value obtained for the total magnetization is 0.0000 μB per atom. Its density of states at the Fermi level is 1.0 states/eV/f.u. Its formation enthalpy at 0 K is -0.40 eV per atom.

---

# 3
DFT (PBE-GGA) results for Ac2PdRh after structural relaxation.

Unit cell a=3.7557 b=3.7557 c=7.5346 alpha=90.00 beta=90.00 gamma=90.00
Last column: nearest neighbours and their distance in Å.
Fractional coordinates of all 4 atoms:
Rh 0.5000 0.5000 0.0000  8 Ac 3.22
Ac 0.0000 0.0000 0.2409  4 Rh 3.22, 4 Pd 3.30
Pd 0.5000 0.5000 0.5000  8 Ac 3.30
Ac 0.0000 0.0000 0.7591  4 Rh 3.22, 4 Pd 3.30

The volume comes out at 106.28 Å³ per cell. The crystal system is tetragonal. The value obtained for the total magnetization is 0.0000 μB per atom. Its density of states at the Fermi level is 1.7 states/eV/f.u. Its formation enthalpy at 0 K is -0.65 eV per atom.